one | A plane-wave DFT calculation with PBE-GGA was carried out for CoHg2Ru after structural relaxation.

abc: 3.1859 3.1859 6.5159
angles: 90.00 90.00 90.00
Space group P4/mmm (No. 123)
Unique sites:
Co  0.0000  0.0000  0.0000 [1 per cell]
Hg  0.5000  0.5000  0.2386 [2 per cell]
Ru  0.0000  0.0000  0.5000 [1 per cell]

two | A plane-wave DFT calculation with PBE-GGA was carried out for CoHg2Ru after structural relaxation.

abc: 4.0644 4.0644 8.1501
angles: 90.00 90.00 90.00
Space group I-4m2 (No. 119)
Unique sites:
Co  0.0000  0.0000  0.0000 [2 per cell]
Hg  0.0000  0.0000  0.5000 [2 per cell]
Hg  0.0000  0.5000  0.7500 [2 per cell]
Ru  0.0000  0.5000  0.2500 [2 per cell]

Most stable to least stable: one, two

one | A plane-wave DFT calculation with PBE-GGA was carried out for CoHg2Ru after structural relaxation.

abc: 4.1254 4.1254 7.9259
angles: 90.00 90.00 90.00
Space group I4/mmm (No. 139)
Unique sites:
Co  0.0000  0.0000  0.0000 [2 per cell]
Hg  0.0000  0.5000  0.2500 [4 per cell]
Ru  0.0000  0.0000  0.5000 [2 per cell]

two | A plane-wave DFT calculation with PBE-GGA was carried out for CoHg2Ru after structural relaxation.

abc: 10.3695 2.9208 4.8007
angles: 90.00 110.14 90.00
Space group Cm (No. 8)
Unique sites:
Co  0.0000  0.0000  0.0000 [2 per cell]
Hg  0.2442  0.0000  0.7996 [2 per cell]
Hg  0.4602  0.0000  0.4657 [2 per cell]
Ru  0.1966  0.5000  0.2618 [2 per cell]

three | A plane-wave DFT calculation with PBE-GGA was carried out for CoHg2Ru after structural relaxation.

abc: 2.9240 2.9240 8.0332
angles: 90.00 90.00 90.00
Space group P4mm (No. 99)
Unique sites:
Co  0.0000  0.0000  0.0000 [1 per cell]
Hg  0.0000  0.0000  0.5665 [1 per cell]
Hg  0.5000  0.5000  0.2399 [1 per cell]
Ru  0.5000  0.5000  0.8282 [1 per cell]

four | A plane-wave DFT calculation with PBE-GGA was carried out for CoHg2Ru after structural relaxation.

abc: 6.4744 6.4744 6.4744
angles: 90.00 90.00 90.00
Space group F-43m (No. 216)
Unique sites:
Co  0.0000  0.0000  0.0000 [4 per cell]
Hg  0.0000  0.0000  0.5000 [4 per cell]
Hg  0.2500  0.2500  0.7500 [4 per cell]
Ru  0.2500  0.2500  0.2500 [4 per cell]

Most stable to least stable: three, two, one, four

one | A plane-wave DFT calculation with PBE-GGA was carried out for CoHg2Ru after structural relaxation.

abc: 4.4405 4.4405 3.3889
angles: 90.00 90.00 90.00
Space group P4/mmm (No. 123)
Unique sites:
Co  0.0000  0.0000  0.0000 [1 per cell]
Hg  0.0000  0.5000  0.5000 [2 per cell]
Ru  0.5000  0.5000  0.0000 [1 per cell]

two | A plane-wave DFT calculation with PBE-GGA was carried out for CoHg2Ru after structural relaxation.

abc: 2.8886 2.8886 28.9259
angles: 90.00 90.00 120.00
Space group R3m (No. 160, hexagonal axes)
Unique sites:
Co  0.0000  0.0000  0.0000 [3 per cell]
Hg  0.0000  0.0000  0.2533 [3 per cell]
Hg  0.0000  0.0000  0.4822 [3 per cell]
Ru  0.0000  0.0000  0.7301 [3 per cell]

three | A plane-wave DFT calculation with PBE-GGA was carried out for CoHg2Ru after structural relaxation.

abc: 7.3406 7.3406 5.5037
angles: 90.00 90.00 90.00
Space group I-42d (No. 122)
Unique sites:
Co  0.0000  0.0000  0.0000 [4 per cell]
Hg  0.2330  0.2500  0.1250 [8 per cell]
Ru  0.0000  0.0000  0.5000 [4 per cell]

Most stable to least stable: two, one, three

one | A plane-wave DFT calculation with PBE-GGA was carried out for Co2HgS after structural relaxation.

abc: 6.1758 6.1758 6.1758
angles: 90.00 90.00 90.00
Space group Fm-3m (No. 225)
Unique sites:
Co  0.2500  0.2500  0.2500 [8 per cell]
Hg  0.0000  0.0000  0.0000 [4 per cell]
S  0.0000  0.0000  0.5000 [4 per cell]

two | A plane-wave DFT calculation with PBE-GGA was carried out for Co2HgS after structural relaxation.

abc: 6.3954 6.3954 6.0489
angles: 90.00 90.00 90.00
Space group I-42d (No. 122)
Unique sites:
Co  0.1673  0.7500  0.1250 [8 per cell]
Hg  0.0000  0.0000  0.5000 [4 per cell]
S  0.0000  0.0000  0.0000 [4 per cell]

Most stable to least stable: two, one